*one*
A relaxed CaVAs2 crystal, computed with PBE.

The structure in POSCAR format:
```
CaVAs2
1.0
3.3905 0.0000 0.0000
-1.6953 2.9363 0.0000
0.0000 0.0000 27.4428
Ca V As
3 3 6
Cartesian
0.0000 0.0000 0.0000
0.0000 1.9575 18.2952
1.6953 0.9788 9.1476
0.0000 0.0000 13.7214
0.0000 1.9575 4.5738
1.6953 0.9788 22.8690
0.0000 0.0000 2.9429
0.0000 0.0000 24.4999
0.0000 1.9575 15.3523
0.0000 1.9575 21.2381
1.6953 0.9788 6.2047
1.6953 0.9788 12.0905
```

Summary:
Crystal system = trigonal
N(E_F) = 11.11 states/eV/cell
Spin magnetization = 0.2398 μB/atom

=====

*two*
A relaxed CaVAs2 crystal, computed with PBE.

The structure in POSCAR format:
```
CaVAs2
1.0
6.7458 0.0000 0.0000
0.0000 6.7458 0.0000
0.0000 0.0000 6.7458
Ca V As
4 4 8
Cartesian
0.0000 0.0000 0.0000
0.0000 3.3729 3.3729
3.3729 0.0000 3.3729
3.3729 3.3729 0.0000
0.0000 0.0000 3.3729
0.0000 3.3729 0.0000
3.3729 0.0000 0.0000
3.3729 3.3729 3.3729
1.6865 1.6865 1.6865
1.6865 1.6865 5.0594
1.6865 5.0594 1.6865
1.6865 5.0594 5.0594
5.0594 1.6865 1.6865
5.0594 1.6865 5.0594
5.0594 5.0594 1.6865
5.0594 5.0594 5.0594
```

Summary:
Crystal system = cubic
N(E_F) = 5.70 states/eV/cell
Spin magnetization = 0.5305 μB/atom

=====

Stability summary: most stable *two*, least stable *one*.

=====

*one*
A relaxed CaV2As2 crystal, computed with PBE.

The structure in POSCAR format:
```
CaV2As2
1.0
7.4595 0.0000 0.0000
0.0000 7.4595 0.0000
0.0000 0.0000 3.1742
Ca V As
2 4 4
Cartesian
0.0000 0.0000 0.0000
3.7298 3.7298 0.0000
0.8034 2.9263 0.0000
2.9263 6.6561 0.0000
4.5332 0.8034 0.0000
6.6561 4.5332 0.0000
1.2579 4.9877 1.5871
2.4719 1.2579 1.5871
4.9877 6.2016 1.5871
6.2016 2.4719 1.5871
```

Summary:
Crystal system = tetragonal
N(E_F) = 5.78 states/eV/cell
Spin magnetization = 0.2981 μB/atom

=====

*two*
A relaxed CaV2As2 crystal, computed with PBE.

The structure in POSCAR format:
```
CaV2As2
1.0
4.7583 0.0000 0.0000
0.0000 4.7583 0.0000
0.0000 0.0000 8.2201
Ca V As
2 4 4
Cartesian
0.0000 0.0000 0.0000
2.3792 2.3792 4.1101
0.0000 0.0000 3.1077
0.0000 0.0000 5.1124
2.3792 2.3792 1.0024
2.3792 2.3792 7.2178
0.0000 2.3792 2.0550
0.0000 2.3792 6.1651
2.3792 0.0000 2.0550
2.3792 0.0000 6.1651
```

Summary:
Crystal system = tetragonal
N(E_F) = 5.58 states/eV/cell
Spin magnetization = 0.0000 μB/atom

=====

Stability summary: most stable *two*, least stable *one*.